The following is a PBE calculation of an optimized crystal structure of ThCuHgPb, from Alexandria.

calculated total energy	-3.93	eV per atom
formation enthalpy at 0 K	-0.0521	eV/atom

a = 7.302 Å, b = 7.302 Å, c = 7.302 Å
α = 90.00°, β = 90.00°, γ = 90.00°
Space group F-43m (No. 216)
Asymmetric unit:
Th (0.000, 0.000, 0.000)
Cu (0.250, 0.250, 0.750)
Hg (0.250, 0.250, 0.250)
Pb (0.000, 0.000, 0.500)